Entry 1:
First-principles (PBE-GGA) data for an optimized crystal structure of NaCdAgPd, as listed in Alexandria.

Properties
ΔE_f (eV/atom): -0.12

The structure in POSCAR format:
```
NaCdAgPd
1.0
0.000 3.353 3.353
3.353 0.000 3.353
3.353 3.353 0.000
Na Cd Ag Pd
1 1 1 1
direct
0.000 0.000 0.000 Na
0.500 0.500 0.500 Cd
0.250 0.250 0.250 Ag
0.750 0.750 0.750 Pd
```

---

Entry 2:
First-principles (PBE-GGA) data for an optimized crystal structure of PaSiSn, as listed in Alexandria.

Properties
Uncorrected formation energy (eV per atom): -0.336

The structure in POSCAR format:
```
PaSiSn
1.0
2.121 -8.150 0.000
2.121 8.150 0.000
0.000 0.000 3.990
Pa Si Sn
2 2 2
direct
0.093 0.907 0.750 Pa
0.907 0.093 0.250 Pa
0.454 0.546 0.750 Si
0.546 0.454 0.250 Si
0.253 0.747 0.250 Sn
0.747 0.253 0.750 Sn
```

---

Entry 3:
First-principles (PBE-GGA) data for an optimized crystal structure of Al2ZnAg2, as listed in Alexandria.

Properties
ΔE_f (eV/atom): 0.17
Energy above the lowest structure with this stoichiometry (eV/f.u.): 0.96

The structure in POSCAR format:
```
Al2ZnAg2
1.0
-1.874 1.874 6.612
1.874 -1.874 6.612
1.874 1.874 -6.612
Al Zn Ag
2 1 2
direct
0.250 0.750 0.500 Al
0.750 0.250 0.500 Al
0.000 0.000 0.000 Zn
0.396 0.396 0.000 Ag
0.604 0.604 0.000 Ag
```